Below is a PBEsol-optimized structure of ZrHg2W, with properties calculated at the meta-GGA SCAN level.

extended XYZ file:
```
4
Lattice="2.918 -4.369 0.000 2.918 4.369 0.000 0.000 0.000 2.919" Properties=species:S:1:pos:R:3 pbc="T T T"
Zr 0.000 0.000 0.000
Hg 1.459 2.184 1.460
Hg 1.459 -2.184 1.460
W 2.918 0.000 0.000
```

Its formation energy is 0.29 eV per atom. As for the magnetization: 0.000 μB/atom.

***

Below is a PBEsol-optimized structure of Zr3HgW, with properties calculated at the meta-GGA SCAN level.

extended XYZ file:
```
5
Lattice="5.021 0.000 0.000 0.000 5.021 0.000 0.000 0.000 5.021" Properties=species:S:1:pos:R:3 pbc="T T T"
Zr 0.000 0.000 2.510
Zr 0.000 2.510 0.000
Zr 2.510 0.000 0.000
Hg 2.510 2.510 2.510
W 0.000 0.000 0.000
```

Its formation energy is 0.70 eV per atom. As for the magnetization: 0.001 μB/atom.

***

Below is a PBEsol-optimized structure of YHg2, with properties calculated at the meta-GGA SCAN level.

extended XYZ file:
```
12
Lattice="-2.220 2.220 14.387 2.220 -2.220 14.387 2.220 2.220 -14.387" Properties=species:S:1:pos:R:3 pbc="T T T"
Y 2.220 1.110 1.354
Y 2.220 1.110 5.839
Y 0.000 1.110 8.548
Y 0.000 1.110 13.032
Hg 2.220 -1.110 8.241
Hg 2.220 1.110 -3.591
Hg 2.220 -1.110 13.340
Hg 0.000 1.110 3.603
Hg 2.220 1.110 10.784
Hg 0.000 3.330 1.047
Hg 0.000 1.110 17.978
Hg 0.000 3.330 6.146
```

Its formation energy is -0.52 eV per atom. As for the magnetization: 0.000 μB/atom.

***

Below is a PBEsol-optimized structure of YHg2, with properties calculated at the meta-GGA SCAN level.

extended XYZ file:
```
6
Lattice="6.153 -2.174 0.000 6.153 2.174 0.000 -3.078 0.000 5.330" Properties=species:S:1:pos:R:3 pbc="T T T"
Y 1.602 0.000 0.918
Y 7.627 0.000 4.412
Hg -0.260 0.000 3.394
Hg 5.402 0.000 1.293
Hg 3.827 0.000 4.037
Hg 9.489 0.000 1.936
```

Its formation energy is -0.57 eV per atom. As for the magnetization: 0.000 μB/atom.